DFT (SCAN) results for LiZnFe4O8 at its PBEsol-relaxed geometry.

Geometry as extended XYZ:
```
14
Lattice="5.635 0.000 0.000 2.817 4.880 0.000 2.817 1.627 4.856" Properties=species:S:1:pos:R:3 pbc="T T T"
Fe 5.635 4.865 1.791
O 1.495 0.863 0.816
O 4.322 4.011 2.902
Fe 4.239 2.447 1.791
O 6.947 4.011 2.902
O 5.635 1.737 2.902
Fe 7.031 2.447 1.791
Zn 5.635 3.253 4.307
Fe 8.452 4.880 3.589
O 2.817 1.627 2.772
Li 8.452 4.880 0.029
O 4.140 0.863 0.816
O 2.817 3.154 0.816
O 5.635 3.253 0.701
```

Calculated total energy in eV/atom: -11.514
Total magnetic moment in μB/f.u.: 9.00


DFT (SCAN) results for CrNiBi2 at its PBEsol-relaxed geometry.

Geometry as extended XYZ:
```
4
Lattice="4.846 0.000 0.000 2.423 4.197 0.000 2.423 1.399 3.957" Properties=species:S:1:pos:R:3 pbc="T T T"
Bi 2.423 1.399 0.989
Ni 4.846 2.798 1.978
Bi 7.269 4.197 2.967
Cr 0.000 0.000 0.000
```

Calculated total energy in eV/atom: -47.556
E_form in eV/atom: 0.373
Total magnetic moment in μB/f.u.: 4.73


DFT (SCAN) results for ThFe4P12 at its PBEsol-relaxed geometry.

Geometry as extended XYZ:
```
17
Lattice="-3.252 2.291 -5.373 -2.888 -5.646 2.113 -0.233 4.578 4.865" Properties=species:S:1:pos:R:3 pbc="T T T"
P -3.168 -2.721 2.436
P -1.630 0.680 2.371
P -3.204 3.944 -0.830
P -4.465 -2.342 -1.044
P -2.165 1.895 -0.678
P -1.908 3.565 2.650
P -4.743 0.543 -0.765
P -4.208 -0.672 2.284
Fe -3.186 0.611 0.803
P -2.634 -1.341 -0.072
Th 0.000 0.000 0.000
Fe -0.116 2.289 2.433
Fe -1.626 1.145 -2.686
P -3.812 0.861 -2.846
Fe -1.444 -2.823 1.057
P -2.561 0.361 4.452
P -3.739 2.564 1.678
```

Calculated total energy in eV/atom: -17.884
E_form in eV/atom: -0.636
Total magnetic moment in μB/f.u.: 0.00


DFT (SCAN) results for LaTlSN2 at its PBEsol-relaxed geometry.

Geometry as extended XYZ:
```
5
Lattice="4.262 0.000 0.000 0.000 4.262 0.000 0.000 0.000 5.020" Properties=species:S:1:pos:R:3 pbc="T T T"
N 2.131 0.000 0.000
N 0.000 2.131 0.000
Tl 0.000 0.000 0.000
La 2.131 2.131 2.510
S 0.000 0.000 2.510
```

Calculated total energy in eV/atom: -28.341
Total magnetic moment in μB/f.u.: 1.38


DFT (SCAN) results for TlCdPb2 at its PBEsol-relaxed geometry.

Geometry as extended XYZ:
```
4
Lattice="-1.789 4.311 1.050 -3.550 -0.711 -3.126 0.019 -3.740 4.489" Properties=species:S:1:pos:R:3 pbc="T T T"
Pb -2.219 1.185 2.251
Tl -2.669 1.800 -1.038
Cd 0.000 0.000 0.000
Pb -3.100 -1.326 0.163
```

Calculated total energy in eV/atom: -63.526
E_form in eV/atom: 0.057
Energy above the most stable polymorph in this dataset in meV per atom: 31
Total magnetic moment in μB/f.u.: 0.00


DFT (SCAN) results for TaReTc2 at its PBEsol-relaxed geometry.

Geometry as extended XYZ:
```
4
Lattice="3.091 0.000 0.000 0.000 3.091 0.000 0.000 0.000 6.286" Properties=species:S:1:pos:R:3 pbc="T T T"
Re 1.546 1.546 0.000
Tc 0.000 0.000 4.700
Tc 0.000 0.000 1.586
Ta 1.546 1.546 3.143
```

Calculated total energy in eV/atom: -52.095
E_form in eV/atom: -0.145
Energy above the most stable polymorph in this dataset in meV per atom: 0
Total magnetic moment in μB/f.u.: 0.00


DFT (SCAN) results for FeSe3 at its PBEsol-relaxed geometry.

Geometry as extended XYZ:
```
4
Lattice="3.203 0.000 0.000 0.000 4.292 0.000 -1.601 -2.146 5.413" Properties=species:S:1:pos:R:3 pbc="T T T"
Se 1.601 0.000 0.000
Se 0.000 0.000 3.638
Fe 0.000 2.146 0.000
Se 1.601 2.146 1.775
```

Calculated total energy in eV/atom: -19.420
Total magnetic moment in μB/f.u.: 2.38


DFT (SCAN) results for La2AlCl at its PBEsol-relaxed geometry.

Geometry as extended XYZ:
```
4
Lattice="-1.258 -4.033 0.598 3.747 -0.897 1.834 -2.282 1.513 5.401" Properties=species:S:1:pos:R:3 pbc="T T T"
La -1.141 0.756 2.700
Cl 0.103 -1.709 3.917
La 1.244 -2.465 1.216
Al 0.000 0.000 0.000
```

Calculated total energy in eV/atom: -26.563
Energy above the most stable polymorph in this dataset in meV per atom: 0
Total magnetic moment in μB/f.u.: 0.00


DFT (SCAN) results for EuHg at its PBEsol-relaxed geometry.

Geometry as extended XYZ:
```
2
Lattice="3.790 0.000 0.000 0.000 3.790 0.000 0.000 0.000 3.790" Properties=species:S:1:pos:R:3 pbc="T T T"
Hg 0.000 0.000 0.000
Eu 1.895 1.895 1.895
```

Calculated total energy in eV/atom: -61.658
E_form in eV/atom: -0.720
Total magnetic moment in μB/f.u.: 7.21


DFT (SCAN) results for V5As3 at its PBEsol-relaxed geometry.

Geometry as extended XYZ:
```
16
Lattice="-2.588 -4.044 0.812 0.140 -1.645 6.854 -6.712 1.645 1.396" Properties=species:S:1:pos:R:3 pbc="T T T"
V -3.933 -1.011 4.328
V -3.015 -2.609 6.598
As -3.757 -0.124 2.005
As -0.647 -1.011 0.203
As -6.362 -0.817 4.857
V -7.493 -2.684 6.548
As -1.941 -3.033 0.609
As -2.799 -3.228 4.205
As -5.403 -3.920 7.057
V -6.145 -1.435 2.463
V -8.056 -2.832 4.020
V -4.021 -2.873 2.075
V -1.667 -1.360 2.513
V -1.105 -1.213 5.042
V -5.227 -3.033 4.734
V -5.140 -1.171 6.987
```

Calculated total energy in eV/atom: -19.013
E_form in eV/atom: -0.512
Energy above the most stable polymorph in this dataset in meV per atom: 0
Total magnetic moment in μB/f.u.: 0.00


DFT (SCAN) results for Y2RhCl at its PBEsol-relaxed geometry.

Geometry as extended XYZ:
```
4
Lattice="-1.729 -0.052 -4.540 -2.888 -3.625 -1.458 -4.718 0.830 -0.812" Properties=species:S:1:pos:R:3 pbc="T T T"
Cl -4.668 -1.424 -3.405
Y 0.000 0.000 0.000
Rh -7.002 -2.136 -5.108
Y -2.334 -0.712 -1.703
```

Calculated total energy in eV/atom: -24.403
Energy above the most stable polymorph in this dataset in meV per atom: 1313
Total magnetic moment in μB/f.u.: 0.00


DFT (SCAN) results for LaY3Sn at its PBEsol-relaxed geometry.

Geometry as extended XYZ:
```
5
Lattice="-5.380 0.007 0.688 0.683 -0.561 5.351 0.078 5.395 0.555" Properties=species:S:1:pos:R:3 pbc="T T T"
Y -2.690 0.003 0.344
La 0.000 0.000 0.000
Y 0.039 2.697 0.278
Y 0.342 -0.280 2.676
Sn -2.309 2.421 3.297
```

Calculated total energy in eV/atom: -31.819
E_form in eV/atom: 0.692
Total magnetic moment in μB/f.u.: 0.00